A relaxed Ta3Nb crystal. Source: Alexandria, functional PBE.

Cell lengths 3.919, 3.919, 9.663 Å; angles 90.00, 90.00, 90.00 degrees
Space group I4/mmm (No. 139)
Unique sites:
Ta 0.000 0.000 0.000 x2
Ta 0.000 0.500 0.250 x4
Nb 0.000 0.000 0.500 x2

Properties
The formation energy comes out at 163 meV per atom.


A relaxed Li8InPd2 crystal. Source: Alexandria, functional PBE.

Cell lengths 14.609, 3.985, 6.393 Å; angles 90.00, 106.39, 90.00 degrees
Space group C2/m (No. 12)
Unique sites:
Li 0.055 0.000 0.233 x4
Li 0.111 0.500 0.974 x4
Li 0.149 0.000 0.719 x4
Li 0.189 0.500 0.417 x4
In 0.000 0.500 0.500 x2
Pd 0.228 0.000 0.149 x4

Properties
The formation energy comes out at -278 meV per atom.


A relaxed MnCo2Sn crystal. Source: Alexandria, functional PBE.

Cell lengths 3.060, 3.060, 5.807 Å; angles 90.00, 90.00, 90.00 degrees
Space group P4/mmm (No. 123)
Unique sites:
Mn 0.000 0.000 0.000 x1
Co 0.500 0.500 0.234 x2
Sn 0.000 0.000 0.500 x1

Properties
The formation energy comes out at 26 meV per atom.


A relaxed Cs2BaNaSe crystal. Source: Alexandria, functional PBE.

Cell lengths 7.175, 7.175, 6.341 Å; angles 90.00, 90.00, 90.00 degrees
Space group P4/mmm (No. 123)
Unique sites:
Cs 0.000 0.500 0.000 x2
Ba 0.000 0.000 0.500 x1
Na 0.500 0.500 0.500 x1
Se 0.000 0.000 0.000 x1

Properties
The calculation puts the uncorrected formation energy at -620.1 meV per atom.


A relaxed AcGdNiPb crystal. Source: Alexandria, functional PBE.

Cell lengths 7.685, 7.685, 7.685 Å; angles 90.00, 90.00, 90.00 degrees
Space group F-43m (No. 216)
Unique sites:
Ac 0.000 0.000 0.000 x4
Gd 0.000 0.000 0.500 x4
Ni 0.250 0.250 0.750 x4
Pb 0.250 0.250 0.250 x4

Properties
The formation energy comes out at -211 meV per atom.


A relaxed CaNd2ErHg4 crystal. Source: Alexandria, functional PBE.

Cell lengths 5.3592, 5.3592, 26.2167 Å; angles 90.00, 90.00, 120.00 degrees
Space group R-3m (No. 166, hexagonal axes)
Unique sites:
Ca 0.0000 0.0000 0.0000 x3
Nd 0.0000 0.0000 0.2513 x6
Er 0.0000 0.0000 0.5000 x3
Hg 0.0000 0.0000 0.1269 x6
Hg 0.0000 0.0000 0.3771 x6

Properties
The formation energy comes out at -510 meV per atom.


A relaxed La2MgW crystal. Source: Alexandria, functional PBE.

Cell lengths 3.236, 5.144, 6.536 Å; angles 90.00, 104.22, 90.00 degrees
Space group Pm (No. 6)
Unique sites:
La 0.000 0.000 0.000 x1
La 0.313 0.500 0.631 x1
Mg 0.596 0.500 0.192 x1
W 0.713 0.000 0.431 x1

Properties
The formation energy comes out at 497 meV per atom.


A relaxed Na2LiAgF6 crystal. Source: Alexandria, functional PBE.

Cell lengths 5.518, 5.729, 9.623 Å; angles 90.00, 124.07, 90.00 degrees
Space group P2_1/c (No. 14)
Unique sites:
Na 0.226 0.063 0.246 x4
Li 0.000 0.000 0.500 x2
Ag 0.500 0.000 0.000 x2
F 0.132 0.202 0.941 x4
F 0.238 0.697 0.937 x4
F 0.364 0.047 0.747 x4

Properties
The calculation puts the uncorrected formation energy at -2109.8 meV per atom.


A relaxed Y2Tm7Th2 crystal. Source: Alexandria, functional PBE.

Cell lengths 11.053, 11.322, 6.081 Å; angles 90.00, 113.89, 90.00 degrees
Space group C2/m (No. 12)
Unique sites:
Y 0.000 0.212 0.000 x4
Tm 0.000 0.000 0.500 x2
Tm 0.173 0.238 0.672 x8
Tm 0.241 0.000 0.076 x4
Th 0.088 0.500 0.311 x4

Properties
The formation energy comes out at 181 meV per atom.


A relaxed KInIr2 crystal. Source: Alexandria, functional PBE.

Cell lengths 12.059, 2.817, 8.480 Å; angles 90.00, 128.66, 90.00 degrees
Space group C2/m (No. 12)
Unique sites:
K 0.000 0.000 0.000 x2
In 0.000 0.500 0.500 x2
Ir 0.192 0.000 0.842 x4

Properties
The formation energy comes out at 351 meV per atom.


A relaxed ZrAg2Au crystal. Source: Alexandria, functional PBE.

Cell lengths 10.030, 3.028, 5.046 Å; angles 90.00, 99.16, 90.00 degrees
Space group C2/m (No. 12)
Unique sites:
Zr 0.000 0.000 0.000 x2
Ag 0.248 0.000 0.749 x4
Au 0.000 0.500 0.500 x2

Properties
The formation energy comes out at -147 meV per atom.


A relaxed KCaCd3 crystal. Source: Alexandria, functional PBE.

Cell lengths 6.070, 6.070, 6.070 Å; angles 90.00, 90.00, 90.00 degrees
Space group Pm-3m (No. 221)
Unique sites:
K 0.000 0.000 0.000 x1
Ca 0.500 0.500 0.500 x1
Cd 0.000 0.500 0.500 x3

Properties
The formation energy comes out at 206 meV per atom.


| no. | magnetization (μB per formula unit) | energy (eV per atom) |
| --- | --- | --- |
| 1 | 0.0 | -11.24 |
| 2 | 0.0 | -2.86 |
| 3 | 5.1 | -6.82 |
| 4 | 0.0 | -2.31 |
| 5 | 7.1 | -7.13 |
| 6 | 0.0 | -2.67 |
| 7 | 0.0 | -5.60 |
| 8 | 2.0 | -3.97 |
| 9 | 0.0 | -5.19 |
| 10 | 0.0 | -5.04 |
| 11 | 0.0 | -4.53 |
| 12 | 0.0 | -0.96 |